First-principles (PBE) data for a geometry-optimized CaNd9Sm2 structure, as listed in the Alexandria database.

## Properties
E_tot: -54.0 eV per cell
formation enthalpy at 0 K: 0.38 eV per formula unit
SG: P4/mmm

```
data_CaNd9Sm2
_chemical_formula_sum 'Ca1 Nd9 Sm2'
_space_group_name_H-M_alt 'P 1'
_space_group_IT_number 1
_space_group_name_Hall 'P 1'
_cell_length_a 5.2129
_cell_length_b 5.2129
_cell_length_c 15.6230
_cell_angle_alpha 90.00
_cell_angle_beta 90.00
_cell_angle_gamma 90.00
loop_
_atom_site_label
_atom_site_type_symbol
_atom_site_fract_x
_atom_site_fract_y
_atom_site_fract_z
_atom_site_occupancy
Nd1 Nd 0.0000 0.5000 0.1717 1
Nd2 Nd 0.5000 0.5000 0.3339 1
Nd3 Nd 0.5000 0.0000 0.1717 1
Nd4 Nd 0.0000 0.5000 0.8283 1
Nd5 Nd 0.0000 0.5000 0.5000 1
Nd6 Nd 0.5000 0.5000 0.0000 1
Nd7 Nd 0.5000 0.5000 0.6661 1
Nd8 Nd 0.5000 0.0000 0.5000 1
Nd9 Nd 0.5000 0.0000 0.8283 1
Sm1 Sm 0.0000 0.0000 0.6667 1
Sm2 Sm 0.0000 0.0000 0.3333 1
Ca1 Ca 0.0000 0.0000 0.0000 1
```